# 1
LaTbPmDy3 | PBE | relaxed

Cell lengths 5.6636, 10.3886, 7.0656 Å; angles 90.42, 90.00, 105.82 degrees
Positions (direct):
Tb (0.6492, 0.2984, 0.4612)
Tb (0.3508, 0.7016, 0.5388)
Dy (0.1643, 0.3287, 0.7330)
Dy (0.5230, 0.0460, 0.7396)
Dy (0.8357, 0.6713, 0.2670)
Dy (0.7792, 0.5585, 0.7550)
Dy (0.4770, 0.9540, 0.2604)
Dy (0.2208, 0.4415, 0.2450)
Pm (0.0540, 0.1080, 0.2644)
Pm (0.9460, 0.8920, 0.7356)
La (0.3545, 0.7089, 0.9667)
La (0.6455, 0.2911, 0.0333)

symmetry: C2/m, No. 12

***

# 2
BaSnHg | PBE | relaxed

Cell lengths 9.3864, 5.1242, 5.1174 Å; angles 90.00, 56.95, 90.01 degrees
Positions (direct):
Hg (0.9012, 0.6216, 0.7767)
Hg (0.9007, 0.1215, 0.2771)
Ba (0.5973, 0.1215, 0.0807)
Ba (0.2046, 0.6216, 0.9731)
Sn (0.1218, 0.1219, 0.5558)
Sn (0.6800, 0.6216, 0.4980)

symmetry: P4/nmm, No. 129

***

# 3
CuSiPb2I | PBE | relaxed

Cell lengths 5.5937, 5.4162, 5.5937 Å; angles 90.00, 90.00, 90.00 degrees
Positions (direct):
Pb (0.0000, 0.0000, 0.5000)
Pb (0.5000, 0.0000, 0.0000)
I (0.0000, 0.5000, 0.0000)
Cu (0.5000, 0.5000, 0.5000)
Si (0.0000, 0.0000, 0.0000)

ΔE_f (raw): 0.775 eV/atom
symmetry: P4/mmm, No. 123

***

# 4
LiTmZr2N4 | PBE | relaxed

Cell lengths 4.6245, 4.6245, 5.6091 Å; angles 114.34, 114.34, 90.00 degrees
Positions (direct):
Zr (0.6871, 0.1871, 0.5000)
Zr (0.1871, 0.6871, 0.5000)
N (0.9372, 0.4372, 0.0000)
N (0.1853, 0.1853, 0.4962)
N (0.4372, 0.9372, 0.0000)
N (0.6891, 0.6891, 0.5038)
Tm (0.9372, 0.9372, 0.0000)
Li (0.4371, 0.4371, 0.0000)

ΔE_f (raw): -1.389 eV/atom
symmetry: I4/mmm, No. 139

***

# 5
CaNiSb | PBE | relaxed

Cell lengths 5.9245, 5.9236, 3.5164 Å; angles 72.75, 72.72, 34.53 degrees
Positions (direct):
Ni (0.2945, 0.2945, 0.7055)
Ca (0.9977, 0.9977, 0.0023)
Sb (0.7078, 0.7078, 0.2922)

ΔE_f (raw): -0.274 eV/atom
symmetry: I4mm, No. 107

***

# 6
LiCo4Hg | PBE | relaxed

Cell lengths 4.8429, 4.8429, 4.8429 Å; angles 60.00, 60.00, 60.00 degrees
Site moments in Bohr magnetons follow the coordinates.
Positions (direct):
Hg (0.7500, 0.7500, 0.7500)  -0.03
Li (0.0000, 0.0000, 0.0000)  -0.04
Co (0.3746, 0.8763, 0.3746)  1.71
Co (0.3746, 0.3746, 0.3746)  1.71
Co (0.3746, 0.3746, 0.8763)  1.71
Co (0.8763, 0.3746, 0.3746)  1.71

symmetry: F-43m, No. 216

***

# 7
Ni2MoRh | PBE | relaxed

Cell lengths 6.6613, 6.6613, 5.3470 Å; angles 51.47, 51.47, 90.00 degrees
Positions (direct):
Ni (0.6154, 0.1250, 0.2500)
Ni (0.8750, 0.8654, 0.7500)
Ni (0.3750, 0.3846, 0.7500)
Ni (0.1346, 0.6250, 0.2500)
Mo (0.2500, 0.7500, 0.5000)
Mo (0.5000, 0.5000, 0.0000)
Rh (0.7500, 0.2500, 0.5000)
Rh (0.0000, 0.0000, 0.0000)

offset from the most stable computed form: 589 meV per atom
symmetry: I-42d, No. 122

***

# 8
ZrIn2Sb | PBE | relaxed

Cell lengths 8.3394, 8.3394, 6.6152 Å; angles 50.93, 50.93, 90.00 degrees
Positions (direct):
In (0.6272, 0.1250, 0.2500)
In (0.3750, 0.3728, 0.7500)
In (0.8750, 0.8772, 0.7500)
In (0.1228, 0.6250, 0.2500)
Zr (0.5000, 0.5000, 0.0000)
Zr (0.2500, 0.7500, 0.5000)
Sb (0.7500, 0.2500, 0.5000)
Sb (0.0000, 0.0000, 0.0000)

ΔE_f (raw): 0.082 eV/atom
symmetry: I-42d, No. 122

***

# 9
CeMgZn2 | PBE | relaxed

Cell lengths 3.0112, 3.0112, 10.3284 Å; angles 81.62, 81.62, 60.00 degrees
Positions (direct):
Ce (0.5000, 0.5000, 0.5000)
Zn (0.2553, 0.2553, 0.2342)
Zn (0.7447, 0.7447, 0.7658)
Mg (0.0000, 0.0000, 0.0000)

offset from the most stable computed form: 256 meV per atom
symmetry: R-3m, No. 166

***

# 10
Li3Tm12Hg5 | PBE | relaxed

Cell lengths 15.0727, 15.0727, 15.0727 Å; angles 109.47, 109.47, 109.47 degrees
Positions (direct):
Tm (0.5721, 0.9422, 0.6654)
Tm (0.3346, 0.5578, 0.4279)
Tm (0.0721, 0.9067, 0.1299)
Tm (0.9067, 0.8346, 0.7768)
Tm (0.8701, 0.5933, 0.9279)
Tm (0.7768, 0.3346, 0.9067)
Tm (0.2768, 0.4067, 0.8346)
Tm (0.8346, 0.9279, 0.0578)
Tm (0.5578, 0.2232, 0.1299)
Tm (0.3346, 0.7768, 0.4067)
Tm (0.2232, 0.5578, 0.6299)
Tm (0.7768, 0.4422, 0.3701)
Tm (0.9067, 0.0721, 0.6299)
Tm (0.2232, 0.6654, 0.0933)
Tm (0.6299, 0.0578, 0.2232)
Tm (0.3701, 0.4279, 0.0933)
Tm (0.2768, 0.8701, 0.9422)
Tm (0.4279, 0.0578, 0.3346)
Tm (0.0721, 0.1654, 0.4422)
Tm (0.9279, 0.0933, 0.8701)
Tm (0.5721, 0.6299, 0.4067)
Tm (0.6654, 0.4422, 0.5721)
Tm (0.5933, 0.7232, 0.6654)
Tm (0.8701, 0.2768, 0.4422)
Tm (0.8346, 0.9067, 0.2768)
Tm (0.7232, 0.5933, 0.1654)
Tm (0.9279, 0.8346, 0.5578)
Tm (0.0578, 0.4279, 0.8346)
Tm (0.0933, 0.9279, 0.3701)
Tm (0.1299, 0.7232, 0.5578)
Tm (0.4067, 0.2768, 0.3346)
Tm (0.5933, 0.8701, 0.4279)
Tm (0.6654, 0.2232, 0.5933)
Tm (0.4067, 0.1299, 0.5721)
Tm (0.6299, 0.5721, 0.9067)
Tm (0.0933, 0.1654, 0.2232)
Tm (0.1299, 0.4067, 0.0721)
Tm (0.1654, 0.0933, 0.7232)
Tm (0.9422, 0.5721, 0.1654)
Tm (0.1654, 0.0721, 0.9422)
Tm (0.5578, 0.3346, 0.9279)
Tm (0.9422, 0.3701, 0.2768)
Tm (0.7232, 0.1299, 0.0578)
Tm (0.4422, 0.6654, 0.0721)
Tm (0.0578, 0.6299, 0.7232)
Tm (0.3701, 0.9422, 0.7768)
Tm (0.4422, 0.7768, 0.8701)
Tm (0.4279, 0.3701, 0.5933)
Hg (0.0000, 0.0000, 0.0000)
Hg (0.5000, 0.0000, 0.5000)
Hg (0.1250, 0.3750, 0.2500)
Hg (0.6250, 0.8750, 0.2500)
Hg (0.5000, 0.5000, 0.0000)
Hg (0.8750, 0.6250, 0.7500)
Hg (0.3750, 0.2500, 0.1250)
Hg (0.0000, 0.5000, 0.0000)
Hg (0.1250, 0.7500, 0.3750)
Hg (0.2500, 0.3750, 0.6250)
Hg (0.6250, 0.7500, 0.8750)
Hg (0.5000, 0.0000, 0.0000)
Hg (0.7500, 0.6250, 0.3750)
Hg (0.8750, 0.2500, 0.6250)
Hg (0.5000, 0.5000, 0.5000)
Hg (0.0000, 0.0000, 0.5000)
Hg (0.0000, 0.5000, 0.5000)
Hg (0.7500, 0.1250, 0.8750)
Hg (0.2500, 0.8750, 0.1250)
Hg (0.3750, 0.1250, 0.7500)
Li (0.3750, 0.7500, 0.6250)
Li (0.8750, 0.1250, 0.2500)
Li (0.1250, 0.8750, 0.7500)
Li (0.3750, 0.6250, 0.2500)
Li (0.6250, 0.2500, 0.3750)
Li (0.8750, 0.7500, 0.1250)
Li (0.2500, 0.1250, 0.3750)
Li (0.7500, 0.3750, 0.1250)
Li (0.2500, 0.6250, 0.8750)
Li (0.6250, 0.3750, 0.7500)
Li (0.1250, 0.2500, 0.8750)
Li (0.7500, 0.8750, 0.6250)

symmetry: Ia-3d, No. 230

***

# 11
Tb2Ni3Ge5 | PBE | relaxed

Cell lengths 4.1384, 6.7355, 12.2514 Å; angles 90.00, 99.72, 90.00 degrees
Positions (direct):
Ge (0.9501, 0.0765, 0.9002)
Ge (0.2862, 0.5279, 0.5724)
Ge (0.2965, 0.9378, 0.5930)
Ge (0.4047, 0.3770, 0.8094)
Ge (0.0499, 0.5765, 0.0998)
Ge (0.7035, 0.4378, 0.4070)
Ge (0.5953, 0.8770, 0.1906)
Ge (0.8799, 0.7562, 0.7598)
Ge (0.7138, 0.0279, 0.4276)
Ge (0.1201, 0.2562, 0.2402)
Ni (0.3932, 0.0137, 0.7864)
Ni (0.9463, 0.4591, 0.8925)
Ni (0.0537, 0.9591, 0.1075)
Ni (0.2214, 0.2234, 0.4428)
Ni (0.7786, 0.7234, 0.5572)
Ni (0.6068, 0.5137, 0.2136)
Tb (0.8262, 0.2509, 0.6525)
Tb (0.5235, 0.2422, 0.0470)
Tb (0.1738, 0.7509, 0.3475)
Tb (0.4765, 0.7422, 0.9530)

offset from the most stable computed form: 77 meV per atom
symmetry: Cmc2_1, No. 36

***

# 12
TlCu2Pd5 | PBE | relaxed

Cell lengths 6.7453, 6.7453, 7.3495 Å; angles 117.32, 117.32, 90.00 degrees
Positions (direct):
Pd (0.1985, 0.9974, 0.6959)
Pd (0.5026, 0.3015, 0.3041)
Pd (0.9974, 0.4974, 0.6959)
Pd (0.8015, 0.0026, 0.3041)
Pd (0.5000, 0.5000, 0.0000)
Pd (0.0000, 0.0000, 0.0000)
Pd (0.0026, 0.5026, 0.3041)
Pd (0.4974, 0.6985, 0.6959)
Pd (0.3015, 0.8015, 0.3041)
Pd (0.6985, 0.1985, 0.6959)
Tl (0.7500, 0.7500, 0.5000)
Tl (0.2500, 0.2500, 0.5000)
Cu (0.3587, 0.8587, 0.0000)
Cu (0.8587, 0.6413, 0.0000)
Cu (0.1413, 0.3587, 0.0000)
Cu (0.6413, 0.1413, 0.0000)

offset from the most stable computed form: 50 meV per atom
symmetry: I4/mcm, No. 140

***

# 13
CoTeOs2 | PBE | relaxed

Cell lengths 4.6049, 3.1235, 4.4557 Å; angles 86.45, 90.00, 90.00 degrees
Site moments in Bohr magnetons follow the coordinates.
Positions (direct):
Te (0.5000, 0.2500, 0.2500)  -0.01
Co (0.5000, 0.7500, 0.7500)  0.58
Os (0.0000, 0.5653, 0.5080)  0.00
Os (0.0000, 0.9347, 0.9920)  0.00

ΔE_f (raw): 0.831 eV/atom
symmetry: P2/m, No. 10

***

# 14
Sc2Sn3 | PBE | relaxed

Cell lengths 6.1088, 6.1088, 6.6871 Å; angles 90.00, 90.00, 91.40 degrees
Positions (direct):
Sc (0.8791, 0.6209, 0.4993)
Sc (0.3791, 0.1209, 0.4993)
Sc (0.6209, 0.8791, 0.9993)
Sc (0.1209, 0.3791, 0.9993)
Sn (0.7501, 0.2499, 0.7493)
Sn (0.5941, 0.4059, 0.1607)
Sn (0.4059, 0.5941, 0.6607)
Sn (0.0943, 0.9057, 0.8379)
Sn (0.2499, 0.7501, 0.2493)
Sn (0.9057, 0.0943, 0.3379)

symmetry: Cmce, No. 64

***

# 15
ScAg | PBE | relaxed

Cell lengths 3.4341, 3.4341, 3.4341 Å; angles 90.00, 90.00, 90.00 degrees
Positions (direct):
Ag (0.5000, 0.5000, 0.5000)
Sc (0.0000, 0.0000, 0.0000)

symmetry: Pm-3m, No. 221

***

# 16
ZrCdNiN2 | PBE | relaxed

Cell lengths 3.9523, 4.5614, 3.9523 Å; angles 90.00, 90.00, 90.00 degrees
Site moments in Bohr magnetons follow the coordinates.
Positions (direct):
Zr (0.5000, 0.5000, 0.5000)  0.00
N (0.5000, 0.0000, 0.0000)  0.12
N (0.0000, 0.0000, 0.5000)  0.08
Cd (0.0000, 0.5000, 0.0000)  0.00
Ni (0.0000, 0.0000, 0.0000)  0.10

ΔE_f (raw): 1.152 eV/atom
symmetry: P4/mmm, No. 123

***

# 17
Tm2Tl2Cd3 | PBE | relaxed

Cell lengths 3.4039, 4.6388, 11.5047 Å; angles 101.63, 90.00, 90.00 degrees
Positions (direct):
Tl (0.5000, 0.7071, 0.4142)
Tl (0.5000, 0.2929, 0.5858)
Cd (0.0000, 0.0000, 0.0000)
Cd (0.5000, 0.4331, 0.8662)
Cd (0.5000, 0.5669, 0.1338)
Tm (0.0000, 0.8534, 0.7067)
Tm (0.0000, 0.1466, 0.2933)

symmetry: Cmmm, No. 65

***

# 18
Th4Sb | PBE | relaxed

Cell lengths 5.8484, 5.8484, 5.8484 Å; angles 90.00, 90.00, 90.00 degrees
Positions (direct):
Th (0.5000, 0.5000, 0.0000)
Th (0.0000, 0.5000, 0.5000)
Th (0.0000, 0.0000, 0.0000)
Th (0.5000, 0.0000, 0.5000)
Sb (0.5000, 0.5000, 0.5000)

ΔE_f (raw): 0.438 eV/atom
symmetry: Pm-3m, No. 221

***

# 19
CaZrF3 | PBE | relaxed

Cell lengths 4.4417, 4.4417, 4.4417 Å; angles 90.00, 90.00, 90.00 degrees
Site moments in Bohr magnetons follow the coordinates.
Positions (direct):
Ca (0.0000, 0.0000, 0.0000)  0.01
F (0.0000, 0.0000, 0.5000)  0.02
F (0.5000, 0.0000, 0.0000)  0.02
F (0.0000, 0.5000, 0.0000)  0.03
Zr (0.5000, 0.5000, 0.5000)  1.77

ΔE_f (raw): -2.204 eV/atom
offset from the most stable computed form: 67 meV per atom
symmetry: Pm-3m, No. 221

***

# 20
Sb2PBr | PBE | relaxed

Cell lengths 5.2635, 3.9507, 5.9696 Å; angles 70.25, 90.00, 90.00 degrees
Positions (direct):
Br (0.0000, 0.5133, 0.5052)
Sb (0.0000, 0.9858, 0.9428)
Sb (0.5000, 0.1775, 0.1796)
P (0.5000, 0.8233, 0.8724)

ΔE_f (raw): 0.051 eV/atom
offset from the most stable computed form: 56 meV per atom
symmetry: Pm, No. 6

***

# 21
HfBi2Au | PBE | relaxed

Cell lengths 3.4276, 3.4276, 10.7523 Å; angles 80.83, 80.83, 60.00 degrees
Positions (direct):
Au (0.5000, 0.5000, 0.5000)
Hf (0.0000, 0.0000, 0.0000)
Bi (0.0949, 0.0949, 0.7154)
Bi (0.9051, 0.9051, 0.2846)

symmetry: R-3m, No. 166

***

# 22
La2InCoPb | PBE | relaxed

Cell lengths 5.2612, 5.2612, 5.0205 Å; angles 90.00, 90.00, 90.00 degrees
Positions (direct):
La (0.5000, 0.0000, 0.0000)
La (0.0000, 0.5000, 0.0000)
Pb (0.5000, 0.5000, 0.5000)
Co (0.0000, 0.0000, 0.0000)
In (0.0000, 0.0000, 0.5000)

offset from the most stable computed form: 0 meV per atom
symmetry: P4/mmm, No. 123

***

| no. | raw total energy (eV for the cell shown) | V (Å³/cell) | DOS(E_F) (states/eV/cell) |
| --- | --- | --- | --- |
| 1 | -53.95 | 399.96 | 18.9 |
| 2 | -15.66 | 206.31 | 1.5 |
| 3 | -14.61 | 169.47 | 3.0 |
| 4 | -67.90 | 97.46 | 2.2 |
| 5 | -12.73 | 66.49 | 3.1 |
| 6 | -29.45 | 80.31 | 6.7 |
| 7 | -55.81 | 112.29 | 11.2 |
| 8 | -35.64 | 208.49 | 6.9 |
| 9 | -10.16 | 79.95 | 4.1 |
| 10 | -216.63 | 2636.05 | 110.9 |
| 11 | -110.73 | 336.59 | 6.8 |
| 12 | -73.84 | 254.41 | 9.6 |
| 13 | -29.38 | 63.96 | 4.7 |
| 14 | -53.49 | 249.47 | 5.2 |
| 15 | -9.73 | 40.50 | 1.3 |
| 16 | -26.14 | 71.25 | 4.3 |
| 17 | -17.21 | 177.93 | 4.2 |
| 18 | -31.61 | 200.03 | 8.0 |
| 19 | -27.18 | 87.63 | 2.5 |
| 20 | -15.12 | 116.83 | 1.0 |
| 21 | -19.35 | 107.53 | 3.4 |
| 22 | -25.65 | 138.97 | 3.0 |